1.
Entry from Alexandria via LeMat-Bulk: crystalline SrLiI2N at its relaxed geometry (PBE-GGA).

Structure (POSCAR):
```
SrLiI2N
1.0
5.720 0.000 0.000
0.000 5.720 0.000
0.000 0.000 4.216
Sr Li I N
1 1 2 1
Cartesian
0.000 0.000 0.000 Sr
2.860 2.860 2.108 Li
0.000 2.860 2.108 I
2.860 0.000 2.108 I
2.860 2.860 0.000 N
```

Output
Total DFT energy (no corrections) ... -3.317 eV/atom
D(E_F) ... 0.6 states/eV/cell
SG ... P4/mmm
E above lowest polymorph ... 0 meV per atom

2.
Entry from Alexandria via LeMat-Bulk: crystalline SrLiIN2 at its relaxed geometry (PBE-GGA).

Structure (POSCAR):
```
SrLiIN2
1.0
4.897 0.000 0.000
0.000 4.897 0.000
0.000 0.000 6.718
Sr Li I N
1 1 1 2
Cartesian
0.000 0.000 0.000 Sr
2.448 2.448 3.359 Li
0.000 0.000 3.359 I
0.000 2.448 0.000 N
2.448 0.000 0.000 N
```

Output
Total DFT energy (no corrections) ... -3.590 eV/atom
D(E_F) ... 2.7 states/eV/cell
SG ... P4/mmm
E above lowest polymorph ... 77 meV per atom

3.
Entry from Alexandria via LeMat-Bulk: crystalline SrLiIN2 at its relaxed geometry (PBE-GGA).

Structure (POSCAR):
```
SrLiIN2
1.0
4.563 0.000 0.000
0.000 4.563 0.000
0.000 0.000 5.029
Sr Li I N
1 1 1 2
Cartesian
0.000 0.000 0.000 Sr
2.281 2.281 2.515 Li
2.281 2.281 0.000 I
0.000 2.281 2.515 N
2.281 0.000 2.515 N
```

Output
Total DFT energy (no corrections) ... -3.667 eV/atom
D(E_F) ... 1.8 states/eV/cell
SG ... P4/mmm
E above lowest polymorph ... 0 meV per atom

4.
Entry from Alexandria via LeMat-Bulk: crystalline SrLiI2N at its relaxed geometry (PBE-GGA).

Structure (POSCAR):
```
SrLiI2N
1.0
6.493 0.000 0.000
0.000 6.493 0.000
0.000 0.000 5.048
Sr Li I N
1 1 2 1
Cartesian
0.000 0.000 0.000 Sr
3.247 3.247 2.524 Li
0.000 3.247 0.000 I
3.247 0.000 0.000 I
0.000 0.000 2.524 N
```

Output
Total DFT energy (no corrections) ... -3.209 eV/atom
D(E_F) ... 1.0 states/eV/cell
SG ... P4/mmm
E above lowest polymorph ... 108 meV per atom